(1)
A relaxed structure of Be4Os3, computed with PBE-GGA.

Calculated values
The value obtained for the formation energy is -0.17 eV/atom. The energy above the most stable polymorph in this dataset is 0.0 kJ/mol of atoms. The total magnetization is 0.0 μB per formula unit. The volume is 10.792 Å³ per atom. The density of states at the Fermi level comes out at 2.72 states/eV/f.u. The space-group type is No. 139.

Structure (CIF):
```
data_Be4Os3
_chemical_formula_sum 'Be4 Os3'
_cell_length_a 9.746
_cell_length_b 9.746
_cell_length_c 9.746
_cell_angle_alpha 163.40
_cell_angle_beta 163.40
_cell_angle_gamma 23.56
_space_group_name_H-M_alt 'P 1'
_space_group_IT_number 1
_space_group_name_Hall 'P 1'
loop_
_atom_site_label
_atom_site_type_symbol
_atom_site_fract_x
_atom_site_fract_y
_atom_site_fract_z
Be1 Be 0.872 0.872 0.000
Be2 Be 0.128 0.128 0.000
Be3 Be 0.569 0.569 0.000
Be4 Be 0.431 0.431 0.000
Os1 Os 0.000 0.000 0.000
Os2 Os 0.705 0.705 0.000
Os3 Os 0.295 0.295 0.000
```



(2)
A relaxed structure of BaAlP2, computed with PBE-GGA.

Calculated values
The value obtained for the formation energy is -0.13 eV/atom. The total magnetization is 0.0 μB per formula unit. The volume is 23.636 Å³ per atom. The density of states at the Fermi level comes out at 2.36 states/eV/f.u. The space-group type is No. 44.

Structure (CIF):
```
data_BaAlP2
_chemical_formula_sum 'Ba1 Al1 P2'
_cell_length_a 5.881
_cell_length_b 5.881
_cell_length_c 5.881
_cell_angle_alpha 146.61
_cell_angle_beta 121.03
_cell_angle_gamma 69.49
_space_group_name_H-M_alt 'P 1'
_space_group_IT_number 1
_space_group_name_Hall 'P 1'
loop_
_atom_site_label
_atom_site_type_symbol
_atom_site_fract_x
_atom_site_fract_y
_atom_site_fract_z
P1 P 0.933 0.933 0.000
P2 P 0.765 0.265 0.500
Ba1 Ba 0.248 0.748 0.500
Al1 Al 0.554 0.554 0.000
```



(3)
A relaxed structure of YSe4, computed with PBE-GGA.

Calculated values
The energy above the most stable polymorph in this dataset is 26.3 kJ/mol of atoms. As for the formation energy without anion corrections: -178.1 kJ/mol of formula units. The total magnetization is 0.0 μB per formula unit. The volume is 27.507 Å³ per atom. The density of states at the Fermi level comes out at 1.90 states/eV/f.u. The space-group type is No. 139.

Structure (CIF):
```
data_YSe4
_chemical_formula_sum 'Y1 Se4'
_cell_length_a 5.915
_cell_length_b 5.915
_cell_length_c 5.915
_cell_angle_alpha 123.58
_cell_angle_beta 123.58
_cell_angle_gamma 83.90
_space_group_name_H-M_alt 'P 1'
_space_group_IT_number 1
_space_group_name_Hall 'P 1'
loop_
_atom_site_label
_atom_site_type_symbol
_atom_site_fract_x
_atom_site_fract_y
_atom_site_fract_z
Y1 Y 0.000 0.000 0.000
Se1 Se 0.750 0.250 0.500
Se2 Se 0.250 0.750 0.500
Se3 Se 0.694 0.694 0.000
Se4 Se 0.306 0.306 0.000
```



(4)
A relaxed structure of Cd3InHg3, computed with PBE-GGA.

Calculated values
The value obtained for the formation energy is 0.03 eV/atom. The energy above the most stable polymorph in this dataset is 0.0 kJ/mol of atoms. The total magnetization is 0.0 μB per formula unit. The volume is 24.627 Å³ per atom. The density of states at the Fermi level comes out at 2.66 states/eV/f.u. The space-group type is No. 176.

Structure (CIF):
```
data_Cd3InHg3
_chemical_formula_sum 'Cd6 In2 Hg6'
_cell_length_a 5.383
_cell_length_b 8.600
_cell_length_c 8.600
_cell_angle_alpha 120.00
_cell_angle_beta 90.00
_cell_angle_gamma 90.00
_space_group_name_H-M_alt 'P 1'
_space_group_IT_number 1
_space_group_name_Hall 'P 1'
loop_
_atom_site_label
_atom_site_type_symbol
_atom_site_fract_x
_atom_site_fract_y
_atom_site_fract_z
Cd1 Cd 0.250 0.808 0.767
Cd2 Cd 0.250 0.233 0.042
Cd3 Cd 0.250 0.958 0.192
Cd4 Cd 0.750 0.192 0.233
Cd5 Cd 0.750 0.767 0.958
Cd6 Cd 0.750 0.042 0.808
In1 In 0.250 0.667 0.333
In2 In 0.750 0.333 0.667
Hg1 Hg 0.750 0.627 0.534
Hg2 Hg 0.750 0.466 0.093
Hg3 Hg 0.750 0.907 0.373
Hg4 Hg 0.250 0.373 0.466
Hg5 Hg 0.250 0.534 0.907
Hg6 Hg 0.250 0.093 0.627
```



(5)
A relaxed structure of Tb3Pm8Nd, computed with PBE-GGA.

Calculated values
The value obtained for the formation energy is 0.33 eV/atom. The total magnetization is 0.0 μB per formula unit. The volume is 36.393 Å³ per atom. The density of states at the Fermi level comes out at 16.26 states/eV/f.u. The space-group type is No. 71.

Structure (CIF):
```
data_Tb3Pm8Nd
_chemical_formula_sum 'Tb3 Pm8 Nd1'
_cell_length_a 8.780
_cell_length_b 8.780
_cell_length_c 8.780
_cell_angle_alpha 97.10
_cell_angle_beta 99.13
_cell_angle_gamma 135.87
_space_group_name_H-M_alt 'P 1'
_space_group_IT_number 1
_space_group_name_Hall 'P 1'
loop_
_atom_site_label
_atom_site_type_symbol
_atom_site_fract_x
_atom_site_fract_y
_atom_site_fract_z
Tb1 Tb 0.500 0.758 0.258
Tb2 Tb 0.500 0.242 0.742
Tb3 Tb 0.000 0.500 0.500
Pm1 Pm 0.502 0.245 0.257
Pm2 Pm 0.498 0.756 0.743
Pm3 Pm 0.013 0.755 0.257
Pm4 Pm 0.987 0.244 0.743
Pm5 Pm 0.165 0.250 0.416
Pm6 Pm 0.835 0.251 0.085
Pm7 Pm 0.166 0.750 0.915
Pm8 Pm 0.834 0.749 0.584
Nd1 Nd 0.000 0.000 0.000
```



(6)
A relaxed structure of KBe2Se, computed with PBE-GGA.

Calculated values
As for the formation energy without anion corrections: 97.7 kJ/mol of formula units. The total magnetization is 0.0 μB per formula unit. The volume is 19.326 Å³ per atom. The density of states at the Fermi level comes out at 1.60 states/eV/f.u. The space-group type is No. 35.

Structure (CIF):
```
data_KBe2Se
_chemical_formula_sum 'K1 Be2 Se1'
_cell_length_a 3.338
_cell_length_b 3.338
_cell_length_c 6.938
_cell_angle_alpha 90.00
_cell_angle_beta 90.00
_cell_angle_gamma 90.64
_space_group_name_H-M_alt 'P 1'
_space_group_IT_number 1
_space_group_name_Hall 'P 1'
loop_
_atom_site_label
_atom_site_type_symbol
_atom_site_fract_x
_atom_site_fract_y
_atom_site_fract_z
Be1 Be 0.000 0.000 0.011
Be2 Be 0.500 0.500 0.145
K1 K 0.000 0.000 0.502
Se1 Se 0.500 0.500 0.842
```



(7)
A relaxed structure of AsPd2O, computed with PBE-GGA.

Calculated values
The energy above the most stable polymorph in this dataset is 0.0 kJ/mol of atoms. As for the formation energy without anion corrections: -60.4 kJ/mol of formula units. The total magnetization is 0.0 μB per formula unit. The volume is 13.438 Å³ per atom. The density of states at the Fermi level comes out at 1.46 states/eV/f.u. The space-group type is No. 225.

Structure (CIF):
```
data_AsPd2O
_chemical_formula_sum 'As1 Pd2 O1'
_cell_length_a 4.236
_cell_length_b 4.236
_cell_length_c 4.236
_cell_angle_alpha 60.00
_cell_angle_beta 60.00
_cell_angle_gamma 60.00
_space_group_name_H-M_alt 'P 1'
_space_group_IT_number 1
_space_group_name_Hall 'P 1'
loop_
_atom_site_label
_atom_site_type_symbol
_atom_site_fract_x
_atom_site_fract_y
_atom_site_fract_z
As1 As 0.500 0.500 0.500
O1 O 0.000 0.000 0.000
Pd1 Pd 0.250 0.250 0.250
Pd2 Pd 0.750 0.750 0.750
```



(8)
A relaxed structure of Dy8PdPt2, computed with PBE-GGA.

Calculated values
The value obtained for the formation energy is -0.55 eV/atom. The energy above the most stable polymorph in this dataset is 8.9 kJ/mol of atoms. The total magnetization is 0.0 μB per formula unit. The volume is 27.450 Å³ per atom. The density of states at the Fermi level comes out at 13.01 states/eV/f.u. The space-group type is No. 8.

Structure (CIF):
```
data_Dy8PdPt2
_chemical_formula_sum 'Dy8 Pd1 Pt2'
_cell_length_a 5.886
_cell_length_b 7.658
_cell_length_c 7.658
_cell_angle_alpha 113.01
_cell_angle_beta 99.89
_cell_angle_gamma 99.89
_space_group_name_H-M_alt 'P 1'
_space_group_IT_number 1
_space_group_name_Hall 'P 1'
loop_
_atom_site_label
_atom_site_type_symbol
_atom_site_fract_x
_atom_site_fract_y
_atom_site_fract_z
Dy1 Dy 0.584 0.339 0.083
Dy2 Dy 0.584 0.083 0.339
Dy3 Dy 0.170 0.369 0.369
Dy4 Dy 0.990 0.223 0.781
Dy5 Dy 0.990 0.781 0.223
Dy6 Dy 0.808 0.638 0.638
Dy7 Dy 0.382 0.922 0.666
Dy8 Dy 0.382 0.666 0.922
Pd1 Pd 0.130 0.007 0.007
Pt1 Pt 0.490 0.695 0.312
Pt2 Pt 0.490 0.312 0.695
```



(9)
A relaxed structure of LaSm3Er6, computed with PBE-GGA.

Calculated values
The value obtained for the formation energy is 0.30 eV/atom. The energy above the most stable polymorph in this dataset is 15.1 kJ/mol of atoms. The total magnetization is 0.0 μB per formula unit. The volume is 32.700 Å³ per atom. The density of states at the Fermi level comes out at 21.42 states/eV/f.u. The space-group type is No. 146.

Structure (CIF):
```
data_LaSm3Er6
_chemical_formula_sum 'La1 Sm3 Er6'
_cell_length_a 9.888
_cell_length_b 9.888
_cell_length_c 6.892
_cell_angle_alpha 44.17
_cell_angle_beta 44.17
_cell_angle_gamma 60.00
_space_group_name_H-M_alt 'P 1'
_space_group_IT_number 1
_space_group_name_Hall 'P 1'
loop_
_atom_site_label
_atom_site_type_symbol
_atom_site_fract_x
_atom_site_fract_y
_atom_site_fract_z
La1 La 0.899 0.899 0.302
Sm1 Sm 0.399 0.399 0.803
Sm2 Sm 0.647 0.647 0.060
Sm3 Sm 0.150 0.150 0.549
Er1 Er 0.901 0.570 0.298
Er2 Er 0.231 0.901 0.298
Er3 Er 0.570 0.231 0.298
Er4 Er 0.075 0.401 0.798
Er5 Er 0.727 0.075 0.798
Er6 Er 0.401 0.727 0.798
```



(10)
A relaxed structure of Rb2HgI4, computed with PBE-GGA.

Calculated values
The energy above the most stable polymorph in this dataset is 6.8 kJ/mol of atoms. As for the formation energy without anion corrections: -624.2 kJ/mol of formula units. The total magnetization is 0.0 μB per formula unit. The volume is 48.430 Å³ per atom. The space-group type is No. 139.

Structure (CIF):
```
data_Rb2HgI4
_chemical_formula_sum 'Rb2 Hg1 I4'
_cell_length_a 6.091
_cell_length_b 6.091
_cell_length_c 10.102
_cell_angle_alpha 72.45
_cell_angle_beta 72.45
_cell_angle_gamma 90.00
_space_group_name_H-M_alt 'P 1'
_space_group_IT_number 1
_space_group_name_Hall 'P 1'
loop_
_atom_site_label
_atom_site_type_symbol
_atom_site_fract_x
_atom_site_fract_y
_atom_site_fract_z
I1 I 0.164 0.164 0.672
I2 I 0.836 0.836 0.328
I3 I 0.000 0.500 0.000
I4 I 0.500 0.000 0.000
Hg1 Hg 0.000 0.000 0.000
Rb1 Rb 0.366 0.366 0.268
Rb2 Rb 0.634 0.634 0.732
```



(11)
A relaxed structure of Ge2BiRuCl, computed with PBE-GGA.

Calculated values
As for the formation energy without anion corrections: 685.0 kJ/mol of formula units. The total magnetization is 2.4 μB per formula unit. The volume is 32.443 Å³ per atom. The density of states at the Fermi level comes out at 4.40 states/eV/f.u. The space-group type is No. 123.

Structure (CIF):
```
data_Ge2BiRuCl
_chemical_formula_sum 'Ge2 Bi1 Ru1 Cl1'
_cell_length_a 5.574
_cell_length_b 5.220
_cell_length_c 5.574
_cell_angle_alpha 90.00
_cell_angle_beta 90.00
_cell_angle_gamma 90.00
_space_group_name_H-M_alt 'P 1'
_space_group_IT_number 1
_space_group_name_Hall 'P 1'
loop_
_atom_site_label
_atom_site_type_symbol
_atom_site_fract_x
_atom_site_fract_y
_atom_site_fract_z
Ru1 Ru 0.500 0.500 0.500
Ge1 Ge 0.000 0.000 0.500
Ge2 Ge 0.500 0.000 0.000
Bi1 Bi 0.000 0.000 0.000
Cl1 Cl 0.000 0.500 0.000
```



(12)
A relaxed structure of BaPd2N, computed with PBE-GGA.

Calculated values
As for the formation energy without anion corrections: -62.9 kJ/mol of formula units. The total magnetization is 0.0 μB per formula unit. The volume is 22.101 Å³ per atom. The density of states at the Fermi level comes out at 1.14 states/eV/f.u. The space-group type is No. 141.

Structure (CIF):
```
data_BaPd2N
_chemical_formula_sum 'Ba2 Pd4 N2'
_cell_length_a 5.265
_cell_length_b 5.265
_cell_length_c 7.385
_cell_angle_alpha 69.11
_cell_angle_beta 69.11
_cell_angle_gamma 90.00
_space_group_name_H-M_alt 'P 1'
_space_group_IT_number 1
_space_group_name_Hall 'P 1'
loop_
_atom_site_label
_atom_site_type_symbol
_atom_site_fract_x
_atom_site_fract_y
_atom_site_fract_z
Ba1 Ba 0.000 0.000 0.000
Ba2 Ba 0.750 0.250 0.500
Pd1 Pd 0.375 0.125 0.250
Pd2 Pd 0.375 0.625 0.250
Pd3 Pd 0.375 0.625 0.750
Pd4 Pd 0.875 0.625 0.750
N1 N 0.500 0.500 0.000
N2 N 0.250 0.750 0.500
```



Number 5 is which compound?
Tb3Pm8Nd